1.
BePtBr2 | GGA-PBE | relaxed

Cell and atoms, written as extended XYZ:
```
4
Lattice="-1.645 -1.443 -2.635 0.339 -3.074 1.472 -6.667 0.996 3.618" Properties=species:S:1:pos:R:3 pbc="T T T"
Pt -3.933 0.588 2.135
Br -6.043 0.903 3.280
Br -3.019 -1.905 0.703
Be -4.978 -1.612 1.766
```

formation energy from raw total energies: -0.05 eV/atom
raw total energy: -13.31 eV per cell



2.
Be2PtBr | GGA-PBE | relaxed

Cell and atoms, written as extended XYZ:
```
4
Lattice="-3.940 4.540 -1.203 -5.404 2.530 1.408 -2.858 4.952 2.211" Properties=species:S:1:pos:R:3 pbc="T T T"
Be -0.345 0.340 0.068
Be -5.756 5.671 1.140
Pt -9.152 9.017 1.812
Br -3.051 3.006 0.604
```

formation energy from raw total energies: -0.05 eV/atom
raw total energy: -15.35 eV per cell



3.
BePtBr2 | GGA-PBE | relaxed

Cell and atoms, written as extended XYZ:
```
4
Lattice="3.931 -0.011 0.000 -2.004 3.382 0.000 0.000 0.000 7.729" Properties=species:S:1:pos:R:3 pbc="T T T"
Pt 0.000 0.000 4.421
Br 0.000 0.000 6.882
Br 0.964 1.685 2.664
Be 0.964 1.685 5.356
```

formation energy from raw total energies: -0.13 eV/atom
raw total energy: -13.64 eV per cell



4.
Be2PtBr | GGA-PBE | relaxed

Cell and atoms, written as extended XYZ:
```
4
Lattice="-1.482 4.095 -0.765 -2.586 -1.564 -3.227 -2.122 -0.413 1.901" Properties=species:S:1:pos:R:3 pbc="T T T"
Be 0.000 0.000 0.000
Be -2.034 1.265 -1.996
Br -1.802 1.841 0.568
Pt -2.354 -0.988 -0.663
```

formation energy from raw total energies: 0.29 eV/atom
raw total energy: -14.00 eV per cell



5.
Be2PtBr | GGA-PBE | relaxed

Cell and atoms, written as extended XYZ:
```
4
Lattice="6.719 -0.008 -0.018 -2.938 3.335 0.030 0.843 1.137 2.528" Properties=species:S:1:pos:R:3 pbc="T T T"
Be 0.000 0.000 0.000
Be 3.781 0.565 1.255
Br -1.048 2.236 1.279
Pt 1.890 1.663 0.006
```

formation energy from raw total energies: 0.29 eV/atom
raw total energy: -14.00 eV per cell



6.
BePtBr3 | GGA-PBE | relaxed

Cell and atoms, written as extended XYZ:
```
5
Lattice="-1.828 4.203 1.387 -3.791 -2.261 1.856 2.284 -0.390 4.191" Properties=species:S:1:pos:R:3 pbc="T T T"
Be 0.000 0.000 0.000
Pt -1.667 0.776 3.717
Br 1.142 -0.195 2.095
Br -0.914 2.101 0.694
Br -1.896 -1.131 0.928
```

formation energy from raw total energies: 0.44 eV/atom
raw total energy: -12.58 eV per cell



7.
BePtBr2 | GGA-PBE | relaxed

Cell and atoms, written as extended XYZ:
```
4
Lattice="-0.961 -5.361 0.140 0.193 -0.101 5.444 -2.826 1.543 -4.395" Properties=species:S:1:pos:R:3 pbc="T T T"
Br -0.734 -5.227 5.342
Br -0.417 -2.967 3.033
Pt -1.508 -0.645 1.920
Be -2.085 -3.274 -0.732
```

formation energy from raw total energies: 0.33 eV/atom
raw total energy: -11.77 eV per cell



8.
BePt2Br | GGA-PBE | relaxed

Cell and atoms, written as extended XYZ:
```
4
Lattice="-1.758 -2.183 1.205 2.807 -2.897 -1.155 3.147 0.720 5.897" Properties=species:S:1:pos:R:3 pbc="T T T"
Pt 3.536 -2.728 0.213
Pt 1.028 -2.422 0.974
Br 2.634 -2.062 3.969
Be 2.783 -1.133 2.005
```

formation energy from raw total energies: -0.12 eV/atom
raw total energy: -17.95 eV per cell



9.
Be4PtBr | GGA-PBE | relaxed

Cell and atoms, written as extended XYZ:
```
6
Lattice="-3.048 3.104 1.676 -1.399 3.563 -2.661 -4.360 0.108 -1.647" Properties=species:S:1:pos:R:3 pbc="T T T"
Be -5.497 2.584 -1.817
Be -3.997 4.334 -2.330
Be -4.833 4.102 -0.134
Be -3.289 2.530 -0.983
Pt 0.000 0.000 0.000
Br -6.606 5.081 -1.974
```

formation energy from raw total energies: 0.41 eV/atom
raw total energy: -20.16 eV per cell



10.
Be2PtBr | GGA-PBE | relaxed

Cell and atoms, written as extended XYZ:
```
4
Lattice="-2.545 -1.475 1.534 1.219 -2.899 -0.765 3.585 -0.066 5.885" Properties=species:S:1:pos:R:3 pbc="T T T"
Be -0.251 -1.474 1.752
Be 3.669 -0.790 5.329
Br 1.762 -0.747 2.204
Pt 3.068 -2.978 5.814
```

formation energy from raw total energies: -0.33 eV/atom
raw total energy: -16.47 eV per cell



11.
BePt2Br | GGA-PBE | relaxed

Cell and atoms, written as extended XYZ:
```
4
Lattice="3.660 0.000 0.000 0.000 4.361 -0.022 0.000 1.083 4.242" Properties=species:S:1:pos:R:3 pbc="T T T"
Pt 0.000 0.284 0.220
Pt 0.000 2.438 1.890
Be 1.830 1.361 1.055
Br 1.830 4.083 3.165
```

formation energy from raw total energies: 0.06 eV/atom
raw total energy: -17.25 eV per cell



12.
BePtBr2 | GGA-PBE | relaxed

Cell and atoms, written as extended XYZ:
```
4
Lattice="0.000 3.345 3.345 3.345 0.000 3.345 3.345 3.345 0.000" Properties=species:S:1:pos:R:3 pbc="T T T"
Br 5.018 5.018 5.018
Br 1.673 1.673 1.673
Be 0.000 0.000 0.000
Pt 3.345 3.345 3.345
```

formation energy from raw total energies: 0.80 eV/atom
raw total energy: -9.92 eV per cell



13.
Be2PtBr | GGA-PBE | relaxed

Cell and atoms, written as extended XYZ:
```
4
Lattice="3.479 0.000 0.000 0.000 6.074 0.000 0.000 0.000 3.045" Properties=species:S:1:pos:R:3 pbc="T T T"
Be 1.740 3.037 0.000
Be 0.000 0.000 0.000
Br 1.740 0.000 1.523
Pt 0.000 3.037 1.523
```

formation energy from raw total energies: 0.29 eV/atom
raw total energy: -14.02 eV per cell



14.
BePt2Br | GGA-PBE | relaxed

Cell and atoms, written as extended XYZ:
```
4
Lattice="2.914 0.000 0.000 0.000 3.577 0.000 0.000 0.000 6.492" Properties=species:S:1:pos:R:3 pbc="T T T"
Be 0.000 0.000 2.526
Br 1.457 1.788 4.780
Pt 1.457 1.788 2.099
Pt 0.000 0.000 0.332
```

formation energy from raw total energies: 0.10 eV/atom
raw total energy: -17.07 eV per cell



15.
BePtBr2 | GGA-PBE | relaxed

Cell and atoms, written as extended XYZ:
```
4
Lattice="3.547 0.000 0.000 0.000 4.707 -0.076 0.000 0.817 6.291" Properties=species:S:1:pos:R:3 pbc="T T T"
Br 1.774 1.455 2.475
Br 0.000 4.792 5.492
Pt 0.000 3.098 3.773
Be 1.774 4.464 3.798
```

formation energy from raw total energies: -0.26 eV/atom
raw total energy: -14.15 eV per cell



16.
Be2PtBr | GGA-PBE | relaxed

Cell and atoms, written as extended XYZ:
```
4
Lattice="3.690 -0.001 -0.007 1.829 3.206 -0.007 -1.786 -1.037 6.006" Properties=species:S:1:pos:R:3 pbc="T T T"
Be 3.690 2.143 5.896
Be 1.848 1.073 5.339
Br 1.991 1.156 3.239
Pt 1.803 1.047 0.507
```

formation energy from raw total energies: -0.28 eV/atom
raw total energy: -16.28 eV per cell



17.
Be2PtBr | GGA-PBE | relaxed

Cell and atoms, written as extended XYZ:
```
4
Lattice="3.199 0.000 0.000 0.000 3.200 0.000 0.000 0.000 7.099" Properties=species:S:1:pos:R:3 pbc="T T T"
Be 0.000 0.000 6.864
Be 1.599 1.600 1.613
Pt 1.599 1.600 6.573
Br 0.000 0.000 2.698
```

formation energy from raw total energies: -0.13 eV/atom
raw total energy: -15.68 eV per cell



18.
BePtBr2 | GGA-PBE | relaxed

Cell and atoms, written as extended XYZ:
```
4
Lattice="3.151 0.000 0.000 0.000 3.151 0.000 0.000 0.000 7.357" Properties=species:S:1:pos:R:3 pbc="T T T"
Be 1.575 1.575 5.518
Br 0.000 0.000 3.962
Br 0.000 0.000 7.074
Pt 1.575 1.575 1.839
```

formation energy from raw total energies: 0.73 eV/atom
raw total energy: -10.21 eV per cell



19.
BePtBr2 | GGA-PBE | relaxed

Cell and atoms, written as extended XYZ:
```
4
Lattice="-3.341 3.327 -0.326 -2.359 1.366 3.861 0.751 4.291 1.833" Properties=species:S:1:pos:R:3 pbc="T T T"
Br -1.237 2.246 1.342
Br 0.000 0.000 0.000
Be -2.475 4.492 2.684
Pt -3.712 6.738 4.026
```

formation energy from raw total energies: 0.86 eV/atom
raw total energy: -9.67 eV per cell



20.
Be2PtBr | GGA-PBE | relaxed

Cell and atoms, written as extended XYZ:
```
4
Lattice="0.000 3.053 3.053 3.053 0.000 3.053 3.053 3.053 0.000" Properties=species:S:1:pos:R:3 pbc="T T T"
Be 4.579 4.579 4.579
Be 1.526 1.526 1.526
Pt 3.053 3.053 3.053
Br 0.000 0.000 0.000
```

formation energy from raw total energies: 0.57 eV/atom
raw total energy: -12.87 eV per cell



21.
BePt2Br | GGA-PBE | relaxed

Cell and atoms, written as extended XYZ:
```
4
Lattice="2.945 -0.001 0.000 -1.408 2.587 0.000 0.000 0.000 8.744" Properties=species:S:1:pos:R:3 pbc="T T T"
Be 0.000 0.000 4.299
Pt 0.769 1.293 2.598
Pt 0.000 0.000 0.261
Br 0.769 1.293 5.958
```

formation energy from raw total energies: 0.20 eV/atom
raw total energy: -16.69 eV per cell



22.
BePt2Br | GGA-PBE | relaxed

Cell and atoms, written as extended XYZ:
```
4
Lattice="3.645 0.000 0.000 0.000 4.131 0.000 0.000 0.000 4.131" Properties=species:S:1:pos:R:3 pbc="T T T"
Be 1.822 2.066 0.000
Pt 0.000 2.066 2.066
Pt 0.000 0.000 0.000
Br 1.822 0.000 2.066
```

formation energy from raw total energies: 0.48 eV/atom
raw total energy: -15.55 eV per cell



23.
BePt2Br | GGA-PBE | relaxed

Cell and atoms, written as extended XYZ:
```
4
Lattice="-3.113 1.566 -3.021 -1.264 -4.420 0.373 -1.833 0.715 2.260" Properties=species:S:1:pos:R:3 pbc="T T T"
Br -1.549 -1.852 1.317
Pt 0.000 0.000 0.000
Pt -2.189 -1.427 -1.324
Be -2.473 1.141 -0.380
```

formation energy from raw total energies: 0.53 eV/atom
raw total energy: -15.37 eV per cell



24.
BePt2Br | GGA-PBE | relaxed

Cell and atoms, written as extended XYZ:
```
4
Lattice="-1.949 2.015 0.728 -0.736 0.294 -2.785 -5.195 -5.318 0.813" Properties=species:S:1:pos:R:3 pbc="T T T"
Br -5.239 -2.834 -0.419
Pt -2.243 -2.296 0.351
Pt -0.354 -0.363 0.055
Be -2.641 -0.175 -0.825
```

formation energy from raw total energies: -0.03 eV/atom
raw total energy: -17.60 eV per cell



25.
BePtBr2 | GGA-PBE | relaxed

Cell and atoms, written as extended XYZ:
```
4
Lattice="4.927 0.000 0.001 -2.306 4.379 0.019 0.314 2.728 4.075" Properties=species:S:1:pos:R:3 pbc="T T T"
Br 2.620 1.364 2.038
Br 0.000 0.000 0.000
Be 1.310 2.190 0.010
Pt -0.996 3.554 2.047
```

formation energy from raw total energies: 0.41 eV/atom
raw total energy: -11.47 eV per cell



26.
BePt2Br | GGA-PBE | relaxed

Cell and atoms, written as extended XYZ:
```
4
Lattice="5.114 0.009 -0.032 -2.076 4.674 -0.032 1.492 2.299 2.766" Properties=species:S:1:pos:R:3 pbc="T T T"
Pt 1.519 2.342 -0.032
Pt 0.000 0.000 0.000
Br -0.292 3.487 1.367
Be 3.303 1.154 1.367
```

formation energy from raw total energies: 0.33 eV/atom
raw total energy: -16.15 eV per cell



27.
Be2PtBr | GGA-PBE | relaxed

Cell and atoms, written as extended XYZ:
```
4
Lattice="2.921 0.000 0.000 0.000 3.291 -0.002 0.000 0.011 6.247" Properties=species:S:1:pos:R:3 pbc="T T T"
Be 0.000 0.831 3.560
Be 0.000 0.832 5.810
Pt 1.461 2.477 4.684
Br 1.461 0.826 1.561
```

formation energy from raw total energies: -0.19 eV/atom
raw total energy: -15.91 eV per cell



28.
Be2PtBr | GGA-PBE | relaxed

Cell and atoms, written as extended XYZ:
```
4
Lattice="4.382 0.000 0.000 2.191 3.795 0.000 2.191 1.265 3.578" Properties=species:S:1:pos:R:3 pbc="T T T"
Be 0.000 0.000 0.000
Be 2.191 1.265 0.894
Pt 6.572 3.795 2.683
Br 4.382 2.530 1.789
```

formation energy from raw total energies: 0.85 eV/atom
raw total energy: -11.75 eV per cell



29.
BePtBr2 | GGA-PBE | relaxed

Cell and atoms, written as extended XYZ:
```
4
Lattice="-2.664 6.837 -5.833 -2.089 4.418 -7.999 -5.000 4.597 -6.461" Properties=species:S:1:pos:R:3 pbc="T T T"
Pt -4.706 7.648 -9.791
Br -2.161 3.512 -4.495
Br -0.387 0.629 -0.805
Be -7.376 11.989 -15.347
```

formation energy from raw total energies: -0.03 eV/atom
raw total energy: -13.24 eV per cell



30.
BePt2Br | GGA-PBE | relaxed

Cell and atoms, written as extended XYZ:
```
4
Lattice="-5.499 -2.230 -3.612 -1.743 -4.229 -5.229 3.537 1.427 5.807" Properties=species:S:1:pos:R:3 pbc="T T T"
Be -3.971 -3.542 -4.848
Br -1.367 -3.421 -2.475
Pt -2.122 -1.419 -0.295
Pt -7.109 -6.340 -8.678
```

formation energy from raw total energies: -0.02 eV/atom
raw total energy: -17.57 eV per cell



31.
BePtBr2 | GGA-PBE | relaxed

Cell and atoms, written as extended XYZ:
```
4
Lattice="7.169 -0.004 0.000 5.339 4.785 0.000 -6.254 -2.391 2.563" Properties=species:S:1:pos:R:3 pbc="T T T"
Pt 6.254 2.391 0.000
Br 2.669 2.393 1.282
Br 0.000 0.000 0.000
Be 3.585 -0.002 1.282
```

formation energy from raw total energies: 0.51 eV/atom
raw total energy: -11.08 eV per cell